[1]
Computed, not measured: a relaxed structure of GdErIr2 at the PBE level of DFT.

Unit cell a=4.737 b=4.737 c=3.584 alpha=90.00 beta=90.00 gamma=90.00
Fractional coordinates of all 4 atoms:
Gd  0.000  0.000  0.000
Er  0.500  0.500  0.000
Ir  0.000  0.500  0.500
Ir  0.500  0.000  0.500

Results
The calculated formation energy comes out at -18.52 kcal/mol of atoms. The total energy is -9.89 eV per atom. The space group is No. 123. The value obtained for the relative energy among the computed polymorphs is 0.0000 eV/atom.

***

[2]
Computed, not measured: a relaxed structure of AcTl2S8 at the PBE level of DFT.

Unit cell a=5.756 b=5.767 c=10.283 alpha=103.78 beta=106.08 gamma=90.04
Fractional coordinates of all 11 atoms:
Ac  0.000  0.000  0.000
Tl  0.354  0.197  0.706
Tl  0.646  0.803  0.294
S  0.076  0.547  0.152
S  0.157  0.123  0.320
S  0.172  0.488  0.351
S  0.493  0.815  0.987
S  0.507  0.185  0.013
S  0.828  0.512  0.649
S  0.843  0.877  0.680
S  0.924  0.453  0.848

Results
The total energy is -4.33 eV per atom. The space group is No. 2. The uncorrected formation energy is -526 meV/atom.